Entry 1:
Below is a geometry-optimized Nb11Ir9Pt4 structure, with properties calculated at the GGA-PBE level.

The structure in CIF format:
```
data_Nb11Ir9Pt4
_chemical_formula_sum 'Nb22 Ir18 Pt8'
_cell_length_a 13.126
_cell_length_b 20.929
_cell_length_c 2.861
_cell_angle_alpha 90.00
_cell_angle_beta 90.00
_cell_angle_gamma 90.00
_space_group_name_H-M_alt 'C m m m'
_space_group_IT_number 65
_space_group_name_Hall '-C 2 2'
loop_
_atom_site_label
_atom_site_type_symbol
_atom_site_fract_x
_atom_site_fract_y
_atom_site_fract_z
Nb1 Nb 0.000 0.000 0.000
Nb2 Nb 0.000 0.187 0.000
Nb3 Nb 0.000 0.376 0.000
Nb4 Nb 0.217 0.183 0.000
Nb5 Nb 0.234 0.000 0.000
Ir1 Ir 0.000 0.500 0.500
Ir2 Ir 0.109 0.280 0.500
Ir3 Ir 0.110 0.088 0.500
Pt1 Pt 0.171 0.409 0.500
```

Values from the calculation:
Theoretical density ... 14.92 Mg/m³
Magnetic moment ... 0.007 μB/atom
E_tot ... -226.571 eV/f.u.
Volume ... 16.38 A^3/atom

***

Entry 2:
Below is a geometry-optimized NbIr2Pt structure, with properties calculated at the GGA-PBE level.

The structure in CIF format:
```
data_NbIr2Pt
_chemical_formula_sum 'Nb4 Ir8 Pt4'
_cell_length_a 6.331
_cell_length_b 6.331
_cell_length_c 6.331
_cell_angle_alpha 90.00
_cell_angle_beta 90.00
_cell_angle_gamma 90.00
_space_group_name_H-M_alt 'F m -3 m'
_space_group_IT_number 225
_space_group_name_Hall '-F 4 2 3'
loop_
_atom_site_label
_atom_site_type_symbol
_atom_site_fract_x
_atom_site_fract_y
_atom_site_fract_z
Nb1 Nb 0.000 0.000 0.000
Ir1 Ir 0.250 0.250 0.250
Pt1 Pt 0.000 0.000 0.500
```

Values from the calculation:
Theoretical density ... 17.60 Mg/m³
Magnetic moment ... 0.000 μB/atom
E_tot ... -34.453 eV/f.u.
Volume ... 15.86 A^3/atom

***

Entry 3:
Below is a geometry-optimized NbIr3Pt structure, with properties calculated at the GGA-PBE level.

The structure in CIF format:
```
data_NbIr3Pt
_chemical_formula_sum 'Nb1 Ir3 Pt1'
_cell_length_a 4.710
_cell_length_b 4.710
_cell_length_c 4.710
_cell_angle_alpha 90.00
_cell_angle_beta 90.00
_cell_angle_gamma 90.00
_space_group_name_H-M_alt 'P m -3 m'
_space_group_IT_number 221
_space_group_name_Hall '-P 4 2 3'
loop_
_atom_site_label
_atom_site_type_symbol
_atom_site_fract_x
_atom_site_fract_y
_atom_site_fract_z
Nb1 Nb 0.000 0.000 0.000
Ir1 Ir 0.000 0.000 0.500
Pt1 Pt 0.500 0.500 0.500
```

Values from the calculation:
Theoretical density ... 13.74 Mg/m³
Magnetic moment ... 0.000 μB/atom
Volume ... 20.90 A^3/atom
Energy above the lowest structure with this stoichiometry ... 0 meV/atom

***

Entry 4:
Below is a geometry-optimized NbIrPt2 structure, with properties calculated at the GGA-PBE level.

The structure in CIF format:
```
data_NbIrPt2
_chemical_formula_sum 'Nb4 Ir4 Pt8'
_cell_length_a 5.757
_cell_length_b 5.757
_cell_length_c 11.367
_cell_angle_alpha 90.00
_cell_angle_beta 90.00
_cell_angle_gamma 90.00
_space_group_name_H-M_alt 'I -4 2 d'
_space_group_IT_number 122
_space_group_name_Hall 'I -4 2bw'
loop_
_atom_site_label
_atom_site_type_symbol
_atom_site_fract_x
_atom_site_fract_y
_atom_site_fract_z
Nb1 Nb 0.000 0.000 0.000
Ir1 Ir 0.000 0.000 0.500
Pt1 Pt 0.239 0.250 0.625
```

Values from the calculation:
Theoretical density ... 11.91 Mg/m³
Magnetic moment ... 0.000 μB/atom
Volume ... 23.55 A^3/atom
Energy above the lowest structure with this stoichiometry ... 1150 meV/atom

***

Entry 5:
Below is a geometry-optimized Nb5Ir4Pt structure, with properties calculated at the GGA-PBE level.

The structure in CIF format:
```
data_Nb5Ir4Pt
_chemical_formula_sum 'Nb5 Ir4 Pt1'
_cell_length_a 2.868
_cell_length_b 2.868
_cell_length_c 19.726
_cell_angle_alpha 90.00
_cell_angle_beta 90.00
_cell_angle_gamma 90.00
_space_group_name_H-M_alt 'P 4/m m m'
_space_group_IT_number 123
_space_group_name_Hall '-P 4 2'
loop_
_atom_site_label
_atom_site_type_symbol
_atom_site_fract_x
_atom_site_fract_y
_atom_site_fract_z
Nb1 Nb 0.000 0.000 0.000
Nb2 Nb 0.000 0.000 0.198
Nb3 Nb 0.000 0.000 0.395
Ir1 Ir 0.500 0.500 0.098
Ir2 Ir 0.500 0.500 0.298
Pt1 Pt 0.500 0.500 0.500
```

Values from the calculation:
Theoretical density ... 14.62 Mg/m³
Magnetic moment ... 0.000 μB/atom
E_tot ... -97.275 eV/f.u.
Volume ... 16.22 A^3/atom

***

Entry 6:
Below is a geometry-optimized NbIrPtRh structure, with properties calculated at the GGA-PBE level.

The structure in CIF format:
```
data_NbIrPtRh
_chemical_formula_sum 'Nb1 Ir1 Pt1 Rh1'
_cell_length_a 3.875
_cell_length_b 3.967
_cell_length_c 3.987
_cell_angle_alpha 90.00
_cell_angle_beta 90.00
_cell_angle_gamma 90.00
_space_group_name_H-M_alt 'P m m m'
_space_group_IT_number 47
_space_group_name_Hall '-P 2 2'
loop_
_atom_site_label
_atom_site_type_symbol
_atom_site_fract_x
_atom_site_fract_y
_atom_site_fract_z
Nb1 Nb 0.000 0.000 0.000
Ir1 Ir 0.500 0.500 0.000
Pt1 Pt 0.000 0.500 0.500
Rh1 Rh 0.500 0.000 0.500
```

Values from the calculation:
Theoretical density ... 15.80 Mg/m³
Magnetic moment ... 0.000 μB/atom
E_tot ... -34.654 eV/f.u.
Volume ... 15.32 A^3/atom

***

Entry 7:
Below is a geometry-optimized NbIrPtRh2 structure, with properties calculated at the GGA-PBE level.

The structure in CIF format:
```
data_NbIrPtRh2
_chemical_formula_sum 'Nb1 Ir1 Pt1 Rh2'
_cell_length_a 4.599
_cell_length_b 4.599
_cell_length_c 4.819
_cell_angle_alpha 90.00
_cell_angle_beta 90.00
_cell_angle_gamma 90.00
_space_group_name_H-M_alt 'P 4/m m m'
_space_group_IT_number 123
_space_group_name_Hall '-P 4 2'
loop_
_atom_site_label
_atom_site_type_symbol
_atom_site_fract_x
_atom_site_fract_y
_atom_site_fract_z
Nb1 Nb 0.000 0.000 0.000
Ir1 Ir 0.500 0.500 0.500
Pt1 Pt 0.000 0.000 0.500
Rh1 Rh 0.000 0.500 0.000
```

Values from the calculation:
Theoretical density ... 11.17 Mg/m³
Magnetic moment ... 0.005 μB/atom
E_tot ... -32.440 eV/f.u.
Volume ... 20.39 A^3/atom

***

Entry 8:
Below is a geometry-optimized NbIrRuPt2 structure, with properties calculated at the GGA-PBE level.

The structure in CIF format:
```
data_NbIrRuPt2
_chemical_formula_sum 'Nb1 Ir1 Ru1 Pt2'
_cell_length_a 4.857
_cell_length_b 4.857
_cell_length_c 4.640
_cell_angle_alpha 90.00
_cell_angle_beta 90.00
_cell_angle_gamma 90.00
_space_group_name_H-M_alt 'P 4/m m m'
_space_group_IT_number 123
_space_group_name_Hall '-P 4 2'
loop_
_atom_site_label
_atom_site_type_symbol
_atom_site_fract_x
_atom_site_fract_y
_atom_site_fract_z
Nb1 Nb 0.000 0.000 0.000
Ir1 Ir 0.000 0.000 0.500
Ru1 Ru 0.500 0.500 0.000
Pt1 Pt 0.000 0.500 0.500
```

Values from the calculation:
Theoretical density ... 11.77 Mg/m³
Magnetic moment ... 0.406 μB/atom
E_tot ... -32.755 eV/f.u.
Volume ... 21.90 A^3/atom

***

Entry 9:
Below is a geometry-optimized ScNbIrPt2 structure, with properties calculated at the GGA-PBE level.

The structure in CIF format:
```
data_ScNbIrPt2
_chemical_formula_sum 'Sc1 Nb1 Ir1 Pt2'
_cell_length_a 4.942
_cell_length_b 4.942
_cell_length_c 4.606
_cell_angle_alpha 90.00
_cell_angle_beta 90.00
_cell_angle_gamma 90.00
_space_group_name_H-M_alt 'P 4/m m m'
_space_group_IT_number 123
_space_group_name_Hall '-P 4 2'
loop_
_atom_site_label
_atom_site_type_symbol
_atom_site_fract_x
_atom_site_fract_y
_atom_site_fract_z
Sc1 Sc 0.000 0.000 0.000
Nb1 Nb 0.500 0.500 0.000
Ir1 Ir 0.000 0.000 0.500
Pt1 Pt 0.000 0.500 0.500
```

Values from the calculation:
Theoretical density ... 10.63 Mg/m³
Magnetic moment ... 0.689 μB/atom
E_tot ... -33.492 eV/f.u.
Volume ... 22.50 A^3/atom

***

Entry 10:
Below is a geometry-optimized TaNbIrPt structure, with properties calculated at the GGA-PBE level.

The structure in CIF format:
```
data_TaNbIrPt
_chemical_formula_sum 'Ta1 Nb1 Ir1 Pt1'
_cell_length_a 4.021
_cell_length_b 4.022
_cell_length_c 4.025
_cell_angle_alpha 90.00
_cell_angle_beta 90.00
_cell_angle_gamma 90.00
_space_group_name_H-M_alt 'P m m m'
_space_group_IT_number 47
_space_group_name_Hall '-P 2 2'
loop_
_atom_site_label
_atom_site_type_symbol
_atom_site_fract_x
_atom_site_fract_y
_atom_site_fract_z
Ta1 Ta 0.000 0.000 0.000
Nb1 Nb 0.000 0.500 0.500
Ir1 Ir 0.500 0.000 0.500
Pt1 Pt 0.500 0.500 0.000
```

Values from the calculation:
Theoretical density ... 16.87 Mg/m³
Magnetic moment ... 0.000 μB/atom
E_tot ... -39.320 eV/f.u.
Volume ... 16.27 A^3/atom

***

Entry 11:
Below is a geometry-optimized NbTcIrPt structure, with properties calculated at the GGA-PBE level.

The structure in CIF format:
```
data_NbTcIrPt
_chemical_formula_sum 'Nb1 Tc1 Ir1 Pt1'
_cell_length_a 3.898
_cell_length_b 3.928
_cell_length_c 4.024
_cell_angle_alpha 90.00
_cell_angle_beta 90.00
_cell_angle_gamma 90.00
_space_group_name_H-M_alt 'P m m m'
_space_group_IT_number 47
_space_group_name_Hall '-P 2 2'
loop_
_atom_site_label
_atom_site_type_symbol
_atom_site_fract_x
_atom_site_fract_y
_atom_site_fract_z
Nb1 Nb 0.000 0.000 0.000
Tc1 Tc 0.500 0.500 0.000
Ir1 Ir 0.500 0.000 0.500
Pt1 Pt 0.000 0.500 0.500
```

Values from the calculation:
Theoretical density ... 15.58 Mg/m³
Magnetic moment ... 0.000 μB/atom
E_tot ... -37.271 eV/f.u.
Volume ... 15.40 A^3/atom

***

Entry 12:
Below is a geometry-optimized TiNbIrPt structure, with properties calculated at the GGA-PBE level.

The structure in CIF format:
```
data_TiNbIrPt
_chemical_formula_sum 'Ti1 Nb1 Ir1 Pt1'
_cell_length_a 3.905
_cell_length_b 3.952
_cell_length_c 4.098
_cell_angle_alpha 90.00
_cell_angle_beta 90.00
_cell_angle_gamma 90.00
_space_group_name_H-M_alt 'P m m m'
_space_group_IT_number 47
_space_group_name_Hall '-P 2 2'
loop_
_atom_site_label
_atom_site_type_symbol
_atom_site_fract_x
_atom_site_fract_y
_atom_site_fract_z
Ti1 Ti 0.000 0.000 0.000
Nb1 Nb 0.000 0.500 0.500
Ir1 Ir 0.500 0.000 0.500
Pt1 Pt 0.500 0.500 0.000
```

Values from the calculation:
Theoretical density ... 13.86 Mg/m³
Magnetic moment ... 0.000 μB/atom
E_tot ... -35.661 eV/f.u.
Volume ... 15.81 A^3/atom

***

Entry 13:
Below is a geometry-optimized NbIrPtW structure, with properties calculated at the GGA-PBE level.

The structure in CIF format:
```
data_NbIrPtW
_chemical_formula_sum 'Nb1 Ir1 Pt1 W1'
_cell_length_a 3.956
_cell_length_b 3.960
_cell_length_c 4.026
_cell_angle_alpha 90.00
_cell_angle_beta 90.00
_cell_angle_gamma 90.00
_space_group_name_H-M_alt 'P m m m'
_space_group_IT_number 47
_space_group_name_Hall '-P 2 2'
loop_
_atom_site_label
_atom_site_type_symbol
_atom_site_fract_x
_atom_site_fract_y
_atom_site_fract_z
Nb1 Nb 0.000 0.000 0.000
Ir1 Ir 0.000 0.500 0.500
Pt1 Pt 0.500 0.000 0.500
W1 W 0.500 0.500 0.000
```

Values from the calculation:
Theoretical density ... 17.48 Mg/m³
Magnetic moment ... 0.000 μB/atom
E_tot ... -39.693 eV/f.u.
Volume ... 15.77 A^3/atom